Computed, not measured: a geometry-optimized Tm4AuSe5 structure at the GGA-PBE level of DFT.

Geometry as CIF:
```
data_Tm4AuSe5
_cell_length_a 3.984
_cell_length_b 8.640
_cell_length_c 9.052
_cell_angle_alpha 106.18
_cell_angle_beta 102.71
_cell_angle_gamma 90.00
_symmetry_space_group_name_H-M 'P 1'
_symmetry_Int_Tables_number 1
_symmetry_space_group_name_Hall 'P 1'
loop_
_atom_site_label
_atom_site_type_symbol
_atom_site_fract_x
_atom_site_fract_y
_atom_site_fract_z
_atom_site_occupancy
Tm1 Tm 0.321 0.891 0.641 1
Tm2 Tm 0.997 0.728 0.993 1
Tm3 Tm 0.003 0.272 0.007 1
Tm4 Tm 0.679 0.109 0.359 1
Se1 Se 0.839 0.138 0.678 1
Se2 Se 0.500 0.500 0.000 1
Se3 Se 0.162 0.316 0.323 1
Se4 Se 0.838 0.684 0.677 1
Se5 Se 0.161 0.862 0.322 1
Au1 Au 0.500 0.000 0.000 1
```

- Formation energy without anion corrections: -1.517 eV per atom

---

Computed, not measured: a geometry-optimized InSbS2N structure at the GGA-PBE level of DFT.

Geometry as CIF:
```
data_InSbS2N
_cell_length_a 5.232
_cell_length_b 5.232
_cell_length_c 4.217
_cell_angle_alpha 90.00
_cell_angle_beta 90.00
_cell_angle_gamma 90.00
_symmetry_space_group_name_H-M 'P 1'
_symmetry_Int_Tables_number 1
_symmetry_space_group_name_Hall 'P 1'
loop_
_atom_site_label
_atom_site_type_symbol
_atom_site_fract_x
_atom_site_fract_y
_atom_site_fract_z
_atom_site_occupancy
In1 In 0.000 0.000 0.000 1
Sb1 Sb 0.500 0.500 0.500 1
N1 N 0.000 0.000 0.500 1
S1 S 0.500 0.000 0.000 1
S2 S 0.000 0.500 0.000 1
```

- Formation energy without anion corrections: 0.800 eV per atom
- Offset from the most stable computed form: 257 meV per atom

---

Computed, not measured: a geometry-optimized MgPdPt6 structure at the GGA-PBE level of DFT.

Geometry as CIF:
```
data_MgPdPt6
_cell_length_a 3.939
_cell_length_b 3.939
_cell_length_c 8.016
_cell_angle_alpha 90.00
_cell_angle_beta 90.00
_cell_angle_gamma 90.00
_symmetry_space_group_name_H-M 'P 1'
_symmetry_Int_Tables_number 1
_symmetry_space_group_name_Hall 'P 1'
loop_
_atom_site_label
_atom_site_type_symbol
_atom_site_fract_x
_atom_site_fract_y
_atom_site_fract_z
_atom_site_occupancy
Pt1 Pt 0.500 0.500 0.000 1
Pt2 Pt 0.500 0.500 0.500 1
Pt3 Pt 0.000 0.500 0.753 1
Pt4 Pt 0.500 0.000 0.753 1
Pt5 Pt 0.000 0.500 0.247 1
Pt6 Pt 0.500 0.000 0.247 1
Mg1 Mg 0.000 0.000 0.000 1
Pd1 Pd 0.000 0.000 0.500 1
```

- Total DFT energy (no corrections): -5.70 eV per atom

---

Computed, not measured: a geometry-optimized Dy2Hg3Bi3 structure at the GGA-PBE level of DFT.

Geometry as CIF:
```
data_Dy2Hg3Bi3
_cell_length_a 5.067
_cell_length_b 4.594
_cell_length_c 9.363
_cell_angle_alpha 90.00
_cell_angle_beta 90.00
_cell_angle_gamma 90.00
_symmetry_space_group_name_H-M 'P 1'
_symmetry_Int_Tables_number 1
_symmetry_space_group_name_Hall 'P 1'
loop_
_atom_site_label
_atom_site_type_symbol
_atom_site_fract_x
_atom_site_fract_y
_atom_site_fract_z
_atom_site_occupancy
Hg1 Hg 0.500 0.000 0.000 1
Hg2 Hg 0.500 0.500 0.237 1
Hg3 Hg 0.500 0.500 0.763 1
Bi1 Bi 0.500 0.000 0.500 1
Bi2 Bi 0.000 0.500 0.000 1
Bi3 Bi 0.000 0.500 0.500 1
Dy1 Dy 0.000 0.000 0.758 1
Dy2 Dy 0.000 0.000 0.242 1
```

- Total DFT energy (no corrections): -3.09 eV per atom

---

Computed values of calculated volume (unit: Å³ per atom) for the preceding records, in sequence: 29.1 23.1 15.5 27.2.
Computed values of total magnetization (unit: μB per atom) for the preceding records, in sequence: 0.00 0.30 0.00 0.00.